Record 1
DFT (PBE) results for MgAl3Pd2 after structural relaxation.

The structure in CIF format:
```
data_MgAl3Pd2
_cell_length_a 8.914
_cell_length_b 8.407
_cell_length_c 5.474
_cell_angle_alpha 90.00
_cell_angle_beta 90.00
_cell_angle_gamma 90.00
_space_group_name_H-M_alt 'C m c m'
_space_group_IT_number 63
_space_group_name_Hall '-C 2c 2'
loop_
_atom_site_label
_atom_site_type_symbol
_atom_site_fract_x
_atom_site_fract_y
_atom_site_fract_z
Mg1 Mg 0.000 0.096 0.250
Al1 Al 0.000 0.467 0.250
Al2 Al 0.163 0.242 0.750
Pd1 Pd 0.242 0.500 0.000
```

Properties
Theoretical density: 5.2 Mg/m³
Relative energy among the computed polymorphs: 30 meV/atom

---

Record 2
DFT (PBE) results for Ag2IrAu after structural relaxation.

The structure in CIF format:
```
data_Ag2IrAu
_cell_length_a 2.8195
_cell_length_b 2.8195
_cell_length_c 29.3526
_cell_angle_alpha 90.00
_cell_angle_beta 90.00
_cell_angle_gamma 120.00
_space_group_name_H-M_alt 'R -3 m'
_space_group_IT_number 166
_space_group_name_Hall '-R 3 2"'
loop_
_atom_site_label
_atom_site_type_symbol
_atom_site_fract_x
_atom_site_fract_y
_atom_site_fract_z
Ag1 Ag 0.0000 0.0000 0.2476
Ir1 Ir 0.0000 0.0000 0.5000
Au1 Au 0.0000 0.0000 0.0000
```

Properties
Theoretical density: 14.9 Mg/m³
Relative energy among the computed polymorphs: 0 meV/atom

---

Record 3
DFT (PBE) results for Sm12PuRu7 after structural relaxation.

The structure in CIF format:
```
data_Sm12PuRu7
_cell_length_a 14.6024
_cell_length_b 14.6024
_cell_length_c 9.0872
_cell_angle_alpha 90.00
_cell_angle_beta 90.00
_cell_angle_gamma 120.00
_space_group_name_H-M_alt 'R -3'
_space_group_IT_number 148
_space_group_name_Hall '-R 3'
loop_
_atom_site_label
_atom_site_type_symbol
_atom_site_fract_x
_atom_site_fract_y
_atom_site_fract_z
Sm1 Sm 0.0083 0.5784 0.3318
Sm2 Sm 0.0442 0.8770 0.3003
Pu1 Pu 0.0000 0.0000 0.0000
Ru1 Ru 0.0000 0.0000 0.5000
Ru2 Ru 0.0458 0.8634 0.9041
```

Properties
Theoretical density: 8.2 Mg/m³

---

Record 4
DFT (PBE) results for CdRe3Pb after structural relaxation.

The structure in CIF format:
```
data_CdRe3Pb
_cell_length_a 4.900
_cell_length_b 4.900
_cell_length_c 4.900
_cell_angle_alpha 90.00
_cell_angle_beta 90.00
_cell_angle_gamma 90.00
_space_group_name_H-M_alt 'P m -3 m'
_space_group_IT_number 221
_space_group_name_Hall '-P 4 2 3'
loop_
_atom_site_label
_atom_site_type_symbol
_atom_site_fract_x
_atom_site_fract_y
_atom_site_fract_z
Cd1 Cd 0.000 0.000 0.000
Re1 Re 0.000 0.000 0.500
Pb1 Pb 0.500 0.500 0.500
```

Properties
Theoretical density: 12.4 Mg/m³
Relative energy among the computed polymorphs: 0 meV/atom

---

What Fermi-level density of states values result from the calculations? In sequence: 9.6, 9.9, 46.4, 6.6 states/eV per cell.
What formation enthalpy at 0 K values result from the calculations? In sequence: -0.561, 0.216, -0.175, 2.923 eV/atom.
What magnetic moment values result from the calculations? In sequence: 0.00, 0.95, 8.55, 4.29 Bohr magnetons per cell.